First-principles (PBE-GGA) data for an optimized crystal structure of Nd2HoErO6, as listed in Alexandria.

Values from the calculation:
As for the calculated total energy: -8.294 eV per atom. Its density of states at the Fermi level is 0.0000 states/eV/atom. The formation energy (no corrections) comes out at -3.451 eV per atom.

Cell lengths 6.1211, 6.1211, 6.1211 Å; angles 57.98, 57.98, 57.98 degrees
Closest atoms and distances in Å follow each position.
Positions (direct):
Nd: 0.0000 0.0000 0.0000  6 O 2.35-2.50
Nd: 0.4998 0.4998 0.4998  6 O 2.35-2.50
Ho: 0.2214 0.2214 0.2214  6 O 2.24-2.33
Er: 0.7209 0.7209 0.7209  6 O 2.23-2.32
O: 0.0902 0.4225 0.8426  1 Er 2.23, 1 Ho 2.33, 2 Nd 2.35-2.50
O: 0.3436 0.9208 0.5918  1 Ho 2.24, 1 Er 2.32, 2 Nd 2.35-2.50
O: 0.4225 0.8426 0.0902  1 Er 2.23, 1 Ho 2.33, 2 Nd 2.35-2.50
O: 0.5918 0.3436 0.9208  1 Ho 2.24, 1 Er 2.32, 2 Nd 2.35-2.50
O: 0.8426 0.0902 0.4225  1 Er 2.23, 1 Ho 2.33, 2 Nd 2.35-2.50
O: 0.9208 0.5918 0.3436  1 Ho 2.24, 1 Er 2.32, 2 Nd 2.35-2.50